FeF (PBE with a Hubbard U, optimized geometry); DOS(E_F) = 1.7 states/eV per cell; offset from the most stable computed form = 335 meV/atom
1.0
6.620 0.000 0.000
0.000 6.620 0.000
0.000 0.000 2.951
Fe F
4 4
direct
0.187 0.187 0.000 Fe
0.313 0.687 0.500 Fe
0.687 0.313 0.500 Fe
0.813 0.813 0.000 Fe
0.136 0.864 0.000 F
0.364 0.364 0.500 F
0.636 0.636 0.500 F
0.864 0.136 0.000 F